Here is a relaxed Rb2ThH2S4 crystal from the Alexandria database. Energies are from PBE.

Lattice parameters (Å, degrees): 8.256 8.256 7.915 110.79 110.79 28.99
Atoms (fractional coordinates):
Rb 0.134 0.134 0.088
Rb 0.866 0.866 0.912
Th 0.000 0.000 0.500
H 0.220 0.220 0.557
H 0.780 0.780 0.443
S 0.193 0.193 0.699
S 0.487 0.487 0.725
S 0.513 0.513 0.275
S 0.807 0.807 0.301

Crystal system: monoclinic
DOS at the Fermi energy (states/eV/cell): 0.0
Space-group type: C2/m
Electronic total energy (eV/atom): -4.761